# 1
Material: LiCrRh
Method: DFT, PBE
State: relaxed

```
LiCrRh
1.0
0.000 2.182 6.646
1.392 0.000 6.646
1.392 2.182 0.000
Li Cr Rh
1 1 1
direct
0.000 0.000 0.000
0.676 0.676 0.324
0.332 0.332 0.668
```

Output
ΔH_f (0 K): 0.205 eV/atom
SG: No. 42
Total energy: -18.27 eV per formula unit
ΔE to the lowest computed polymorph: 8.9 kJ/mol of atoms
Total magnetization: 0.26 μB per formula unit

---

# 2
Material: LiCr2Rh
Method: DFT, PBE
State: relaxed

```
LiCr2Rh
1.0
2.584 0.000 0.000
0.000 4.129 0.000
-1.095 0.000 4.561
Li Cr Rh
1 2 1
direct
0.000 0.000 0.000
0.482 0.500 0.231
0.518 0.500 0.769
0.000 0.000 0.500
```

Output
ΔH_f (0 K): 0.210 eV/atom
SG: No. 10
Total energy: -27.67 eV per formula unit
Total magnetization: 0.00 μB per formula unit

---

# 3
Material: LiCrRh
Method: DFT, PBE
State: relaxed

```
LiCrRh
1.0
-1.474 1.474 4.349
1.474 -1.474 4.349
1.474 1.474 -4.349
Li Cr Rh
1 1 1
direct
0.000 0.000 0.000
0.324 0.324 0.000
0.674 0.674 0.000
```

Output
ΔH_f (0 K): 0.139 eV/atom
SG: No. 107
Total energy: -18.47 eV per formula unit
ΔE to the lowest computed polymorph: 2.5 kJ/mol of atoms
Total magnetization: 0.00 μB per formula unit

---

# 4
Material: LiCrRh2
Method: DFT, PBE
State: relaxed

```
LiCrRh2
1.0
0.000 3.030 3.030
3.030 0.000 3.030
3.030 3.030 0.000
Li Cr Rh
1 1 2
direct
0.000 0.000 0.000
0.250 0.250 0.250
0.500 0.500 0.500
0.750 0.750 0.750
```

Output
ΔH_f (0 K): 0.133 eV/atom
SG: No. 216
Total energy: -25.71 eV per formula unit
Total magnetization: 2.21 μB per formula unit

---

# 5
Material: LiCr2Rh
Method: DFT, PBE
State: relaxed

```
LiCr2Rh
1.0
2.970 0.000 0.000
0.000 2.970 0.000
0.000 0.000 5.816
Li Cr Rh
1 2 1
direct
0.000 0.000 0.000
0.000 0.000 0.504
0.500 0.500 0.733
0.500 0.500 0.242
```

Output
ΔH_f (0 K): 0.111 eV/atom
SG: No. 99
Total energy: -28.07 eV per formula unit
Total magnetization: 1.28 μB per formula unit

---

# 6
Material: LiCr2Rh
Method: DFT, PBE
State: relaxed

```
LiCr2Rh
1.0
2.575 0.000 0.000
0.000 2.575 0.000
0.000 0.000 7.950
Li Cr Rh
1 2 1
direct
0.000 0.000 0.000
0.000 0.000 0.483
0.500 0.500 0.716
0.500 0.500 0.258
```

Output
ΔH_f (0 K): 0.251 eV/atom
SG: No. 99
Total energy: -27.51 eV per formula unit
Total magnetization: 0.00 μB per formula unit